1.
This record from the Alexandria database describes a geometry-optimized HfPb3C structure. The functional is PBE.

The structure in POSCAR format:
```
HfPb3C
1.0
-0.415 0.055 4.936
4.473 -2.091 0.400
2.088 4.490 0.125
C Pb Hf
1 3 1
Cartesian
0.000 0.000 0.000
-0.208 0.028 2.468
2.236 -1.045 0.200
1.044 2.245 0.063
3.073 1.228 2.730
```

Values from the calculation:
ΔE to the lowest computed polymorph, meV per atom: 0.0
Crystal system: cubic
Calculated formation energy, eV per formula unit: 6.0


2.
This record from the Alexandria database describes a geometry-optimized Hf2PbC structure. The functional is PBE.

The structure in POSCAR format:
```
Hf2PbC
1.0
-2.977 -5.533 2.642
3.536 -3.949 -4.286
2.801 -4.994 1.491
Hf Pb C
4 2 2
Cartesian
-0.435 -4.674 1.237
2.253 -11.666 0.087
2.646 -7.677 0.094
2.255 -4.935 -1.724
0.000 0.000 0.000
0.051 -7.634 1.655
0.279 -4.741 -0.822
3.308 -6.842 -1.809
```

Values from the calculation:
Crystal system: tetragonal
Calculated formation energy, eV per formula unit: 0.0


3.
This record from the Alexandria database describes a geometry-optimized Hf7Pb2C2 structure. The functional is PBE.

The structure in POSCAR format:
```
Hf7Pb2C2
1.0
-4.622 -5.984 -1.266
3.775 -2.997 3.730
-4.116 3.223 3.133
Pb Hf C
2 7 2
Cartesian
-4.045 -1.647 2.680
-0.918 -4.112 2.917
-5.589 -3.578 0.864
-0.941 -0.949 2.546
-4.022 -4.809 3.051
-2.697 0.438 4.481
-2.267 -6.196 1.116
0.000 0.000 0.000
0.625 -2.181 4.733
-4.184 -5.224 0.865
-0.780 -0.535 4.732
```

Values from the calculation:
Crystal system: monoclinic
Calculated formation energy, eV per formula unit: 0.9


4.
This record from the Alexandria database describes a geometry-optimized HfPt2PbC structure. The functional is PBE.

The structure in POSCAR format:
```
HfPt2PbC
1.0
5.090 0.000 0.000
0.000 4.195 0.000
0.000 0.000 5.090
C Pt Hf Pb
1 2 1 1
Cartesian
0.000 2.098 0.000
0.000 0.000 2.545
2.545 0.000 0.000
2.545 2.098 2.545
0.000 0.000 0.000
```

Values from the calculation:
Crystal system: tetragonal
Calculated formation energy, eV per formula unit: 8.0


5.
This record from the Alexandria database describes a geometry-optimized HfRePb2C structure. The functional is PBE.

The structure in POSCAR format:
```
HfRePb2C
1.0
-5.156 -1.196 2.046
2.293 -3.762 3.576
0.513 3.469 3.320
Pb Re Hf C
2 1 1 1
Cartesian
1.146 -1.881 1.788
-2.578 -0.598 1.023
0.256 1.734 1.660
0.000 0.000 0.000
-1.175 -0.745 4.471
```

Values from the calculation:
Crystal system: tetragonal
Calculated formation energy, eV per formula unit: 12.8


6.
This record from the Alexandria database describes a geometry-optimized Hf2ScPbC structure. The functional is PBE.

The structure in POSCAR format:
```
Hf2ScPbC
1.0
4.529 0.000 0.000
0.000 4.529 0.000
0.000 0.000 4.595
C Hf Pb Sc
1 2 1 1
Cartesian
0.000 0.000 0.000
2.264 0.000 0.000
0.000 2.264 0.000
2.264 2.264 2.298
0.000 0.000 2.298
```

Values from the calculation:
Crystal system: tetragonal
Calculated formation energy, eV per formula unit: -2.1